# Li2YOs

Crystalline Li2YOs at its relaxed geometry (PBE, OQMD via LeMat-Bulk).

Structure (extended XYZ):
```
4
Lattice="0.0000 3.2800 3.2800 3.2800 0.0000 3.2800 3.2800 3.2800 0.0000" Properties=species:S:1:pos:R:3 pbc="T T T"
Li 0.0000 0.0000 0.0000
Li 1.6400 1.6400 1.6400
Y 3.2800 3.2800 3.2800
Os 4.9200 4.9200 4.9200
```

## Properties
Symmetry: F-43m (216)
Electronic total energy (eV/atom): -5.1434

=====

# Rb2Pm

Crystalline Rb2Pm at its relaxed geometry (PBE, OQMD via LeMat-Bulk).

Structure (extended XYZ):
```
6
Lattice="0.0000 9.1999 9.1999 9.1999 0.0000 9.1999 9.1999 9.1999 0.0000" Properties=species:S:1:pos:R:3 pbc="T T T"
Rb 0.0000 0.0000 0.0000
Rb 4.6000 4.6000 0.0000
Rb 4.6000 0.0000 4.6000
Rb 0.0000 4.6000 4.6000
Pm 2.3000 2.3000 2.3000
Pm 16.0999 16.0999 16.0999
```

## Properties
Symmetry: Fd-3m (227)
Electronic total energy (eV/atom): -0.5475

=====

# Cd2SbMo

Crystalline Cd2SbMo at its relaxed geometry (PBE, OQMD via LeMat-Bulk).

Structure (extended XYZ):
```
4
Lattice="0.0000 3.4377 3.4377 3.4377 0.0000 3.4377 3.4377 3.4377 0.0000" Properties=species:S:1:pos:R:3 pbc="T T T"
Cd 0.0000 0.0000 0.0000
Cd 1.7189 1.7189 1.7189
Sb 3.4377 3.4377 3.4377
Mo 5.1566 5.1566 5.1566
```

## Properties
Symmetry: F-43m (216)
Electronic total energy (eV/atom): -3.5963

=====

no.,spin magnetization (μB/atom)
1,0.000
2,1.579
3,0.141